Material: Ba2Li3LaBi4
Method: DFT, PBE-GGA
State: relaxed

Output
ρ	6.477	Mg/m³
density of states at the Fermi level	3.30	states/eV/cell
formation enthalpy at 0 K	-0.726	eV/atom

Lattice parameters (Å, degrees): 5.103 5.103 12.504 90.00 90.00 90.00
Space group P-4m2 (No. 115)
Unique sites:
Ba (0.000, 0.500, 0.217)
Li (0.000, 0.500, 0.885)
Li (0.500, 0.500, 0.500)
La (0.000, 0.000, 0.500)
Bi (0.000, 0.000, 0.000)
Bi (0.000, 0.500, 0.655)
Bi (0.500, 0.500, 0.000)

***

Material: CePm7Y12
Method: DFT, PBE-GGA
State: relaxed

Output
ρ	5.466	Mg/m³
density of states at the Fermi level	123.38	states/eV/cell
formation enthalpy at 0 K	0.224	eV/atom

Lattice parameters (Å, degrees): 12.4398 12.4398 15.1110 90.00 90.00 120.00
Space group R-3 (No. 148, hexagonal axes)
Unique sites:
Ce (0.0000, 0.0000, 0.0000)
Pm (0.0000, 0.0000, 0.5000)
Pm (0.0652, 0.2281, 0.9006)
Y (0.0217, 0.5844, 0.2113)
Y (0.0418, 0.8560, 0.3111)

***

Material: Li4Hf3USe8
Method: DFT, PBE-GGA
State: relaxed

Output
ρ	7.186	Mg/m³
density of states at the Fermi level	19.96	states/eV/cell
formation energy from raw total energies	-1.24	eV/atom

Lattice parameters (Å, degrees): 7.5873 7.5873 19.9268 90.00 90.00 120.00
Space group R-3m (No. 166, hexagonal axes)
Unique sites:
Li (0.0000, 0.0000, 0.0000)
Li (0.0000, 0.5000, 0.0000)
Hf (0.0000, 0.5000, 0.5000)
U (0.0000, 0.0000, 0.5000)
Se (0.0000, 0.0000, 0.2484)
Se (0.0134, 0.5067, 0.7486)

***

Material: CaZr2P2
Method: DFT, PBE-GGA
State: relaxed

Output
ρ	4.870	Mg/m³
density of states at the Fermi level	0.87	states/eV/cell
formation enthalpy at 0 K	-0.977	eV/atom

Lattice parameters (Å, degrees): 7.384 7.384 3.558 90.00 90.00 90.00
Space group P4/mbm (No. 127)
Unique sites:
Ca (0.000, 0.000, 0.000)
Zr (0.148, 0.352, 0.500)
P (0.140, 0.640, 0.000)

***

Material: Ba2MgVGe
Method: DFT, PBE-GGA
State: relaxed

Output
ρ	3.618	Mg/m³
density of states at the Fermi level	3.71	states/eV/cell
formation enthalpy at 0 K	0.315	eV/atom

Lattice parameters (Å, degrees): 6.294 6.294 4.895 90.00 90.00 90.00
Space group P4/mmm (No. 123)
Unique sites:
Ba (0.000, 0.500, 0.000)
Mg (0.000, 0.000, 0.500)
V (0.500, 0.500, 0.000)
Ge (0.500, 0.500, 0.500)

***

Material: Sc3Tl3SnS8
Method: DFT, PBE-GGA
State: relaxed

Output
ρ	4.958	Mg/m³
density of states at the Fermi level	2.89	states/eV/cell
formation energy from raw total energies	-1.17	eV/atom

Lattice parameters (Å, degrees): 7.5625 7.5625 22.7867 90.00 90.00 120.00
Space group R-3m (No. 166, hexagonal axes)
Unique sites:
Sc (0.0000, 0.5000, 0.0000)
Tl (0.0000, 0.5000, 0.5000)
Sn (0.0000, 0.0000, 0.0000)
S (0.0000, 0.0000, 0.2712)
S (0.0011, 0.5006, 0.7294)

***

Material: ScTa2W
Method: DFT, PBE-GGA
State: relaxed

Output
ρ	13.268	Mg/m³
density of states at the Fermi level	9.49	states/eV/cell
formation enthalpy at 0 K	0.133	eV/atom

Lattice parameters (Å, degrees): 3.307 4.705 9.503 90.00 90.00 90.00
Space group Cmm2 (No. 35)
Unique sites:
Sc (0.000, 0.000, 0.000)
Ta (0.000, 0.000, 0.479)
Ta (0.000, 0.500, 0.724)
W (0.000, 0.500, 0.248)

***

Material: Ag2TeIr
Method: DFT, PBE-GGA
State: relaxed

Output
ρ	11.749	Mg/m³
density of states at the Fermi level	7.76	states/eV/cell
formation energy from raw total energies	0.45	eV/atom

Lattice parameters (Å, degrees): 5.475 9.092 3.041 90.00 90.00 90.00
Space group Cmmm (No. 65)
Unique sites:
Ag (0.250, 0.250, 0.000)
Te (0.000, 0.000, 0.500)
Ir (0.000, 0.500, 0.500)

***

Material: Y2Pd5
Method: DFT, PBE-GGA
State: relaxed

Output
ρ	8.954	Mg/m³
density of states at the Fermi level	8.70	states/eV/cell
formation enthalpy at 0 K	-0.808	eV/atom

Lattice parameters (Å, degrees): 7.053 12.685 5.886 90.00 90.00 90.00
Space group Cccm (No. 66)
Unique sites:
Y (0.195, 0.102, 0.000)
Pd (0.000, 0.268, 0.250)
Pd (0.000, 0.500, 0.250)
Pd (0.228, 0.126, 0.500)

***

Material: Sm19Er6Tm4
Method: DFT, PBE-GGA
State: relaxed

Output
ρ	7.623	Mg/m³
density of states at the Fermi level	90.02	states/eV/cell
formation enthalpy at 0 K	0.375	eV/atom

Lattice parameters (Å, degrees): 12.549 12.549 12.549 90.00 90.00 90.00
Space group I23 (No. 197)
Unique sites:
Sm (0.000, 0.000, 0.000)
Sm (0.000, 0.000, 0.261)
Sm (0.063, 0.262, 0.280)
Er (0.000, 0.374, 0.500)
Tm (0.179, 0.179, 0.821)

***

Please write out number 7 again, unchanged.
Material: ScTa2W
Method: DFT, PBE-GGA
State: relaxed

Output
ρ	13.268	Mg/m³
density of states at the Fermi level	9.49	states/eV/cell
formation enthalpy at 0 K	0.133	eV/atom

Lattice parameters (Å, degrees): 3.307 4.705 9.503 90.00 90.00 90.00
Space group Cmm2 (No. 35)
Unique sites:
Sc (0.000, 0.000, 0.000)
Ta (0.000, 0.000, 0.479)
Ta (0.000, 0.500, 0.724)
W (0.000, 0.500, 0.248)

***

Which formula does entry 3 have? Li4Hf3USe8

***

The lowest density of states at the Fermi level belongs to which entry? CaZr2P2

***

Copy entry 8 word for word.
Material: Ag2TeIr
Method: DFT, PBE-GGA
State: relaxed

Output
ρ	11.749	Mg/m³
density of states at the Fermi level	7.76	states/eV/cell
formation energy from raw total energies	0.45	eV/atom

Lattice parameters (Å, degrees): 5.475 9.092 3.041 90.00 90.00 90.00
Space group Cmmm (No. 65)
Unique sites:
Ag (0.250, 0.250, 0.000)
Te (0.000, 0.000, 0.500)
Ir (0.000, 0.500, 0.500)